The following is a DFT calculation (PBE) of an optimized crystal structure of LiHoSbRu.

a = 4.689 Å, b = 4.689 Å, c = 4.689 Å
α = 60.00°, β = 60.00°, γ = 60.00°
Fractional coordinates of all 4 atoms:
Li 0.000 0.000 0.000
Ho 0.750 0.750 0.750
Sb 0.250 0.250 0.250
Ru 0.500 0.500 0.500

E_form (uncorrected): -0.520 eV per atom

=====

The following is a DFT calculation (PBE) of an optimized crystal structure of LiHoSiRu.

a = 4.495 Å, b = 4.495 Å, c = 4.495 Å
α = 60.00°, β = 60.00°, γ = 60.00°
Fractional coordinates of all 4 atoms:
Li 0.000 0.000 0.000
Ho 0.250 0.250 0.250
Si 0.750 0.750 0.750
Ru 0.500 0.500 0.500

E_form (uncorrected): -0.373 eV per atom

=====

The following is a DFT calculation (PBE) of an optimized crystal structure of LiHoSnRu.

a = 4.714 Å, b = 4.714 Å, c = 4.714 Å
α = 60.00°, β = 60.00°, γ = 60.00°
Fractional coordinates of all 4 atoms:
Li 0.000 0.000 0.000
Ho 0.250 0.250 0.250
Sn 0.750 0.750 0.750
Ru 0.500 0.500 0.500

uncorrected energy: -5.365 eV/atom

=====

The following is a DFT calculation (PBE) of an optimized crystal structure of LiHoTaRu.

a = 4.652 Å, b = 4.652 Å, c = 4.652 Å
α = 60.00°, β = 60.00°, γ = 60.00°
Fractional coordinates of all 4 atoms:
Li 0.000 0.000 0.000
Ho 0.750 0.750 0.750
Ta 0.250 0.250 0.250
Ru 0.500 0.500 0.500

uncorrected energy: -6.944 eV/atom

=====

The following is a DFT calculation (PBE) of an optimized crystal structure of LiHoTcRu.

a = 4.525 Å, b = 4.525 Å, c = 4.525 Å
α = 60.00°, β = 60.00°, γ = 60.00°
Fractional coordinates of all 4 atoms:
Li 0.000 0.000 0.000
Ho 0.750 0.750 0.750
Tc 0.500 0.500 0.500
Ru 0.250 0.250 0.250

uncorrected energy: -6.434 eV/atom

=====

The following is a DFT calculation (PBE) of an optimized crystal structure of LiHoThRu.

a = 4.997 Å, b = 4.997 Å, c = 4.997 Å
α = 60.00°, β = 60.00°, γ = 60.00°
Fractional coordinates of all 4 atoms:
Li 0.000 0.000 0.000
Ho 0.750 0.750 0.750
Th 0.250 0.250 0.250
Ru 0.500 0.500 0.500

uncorrected energy: -6.028 eV/atom

=====

The following is a DFT calculation (PBE) of an optimized crystal structure of LiHoTmRu.

a = 4.864 Å, b = 4.864 Å, c = 4.864 Å
α = 60.00°, β = 60.00°, γ = 60.00°
Fractional coordinates of all 4 atoms:
Li 0.000 0.000 0.000
Ho 0.750 0.750 0.750
Tm 0.250 0.250 0.250
Ru 0.500 0.500 0.500

uncorrected energy: -5.375 eV/atom

=====

The following is a DFT calculation (PBE) of an optimized crystal structure of LiYHoRu.

a = 4.907 Å, b = 4.907 Å, c = 4.907 Å
α = 60.00°, β = 60.00°, γ = 60.00°
Fractional coordinates of all 4 atoms:
Li 0.000 0.000 0.000
Y 0.250 0.250 0.250
Ho 0.750 0.750 0.750
Ru 0.500 0.500 0.500

uncorrected energy: -5.838 eV/atom